(1)
10
Lattice="-1.027 -0.154 -6.876 -5.611 -1.205 3.945 1.692 8.020 1.518" Properties=species:S:1:pos:R:3 comment="PBE In2Bi3, relaxed" dos_at_fermi_per_ev_fu=3.029 de_polymorph_ev_per_atom=0.0000 pbc="T T T"
In -4.901 -0.224 2.172
In 0.119 6.909 -3.524
In -4.489 3.696 3.791
In -2.710 2.433 0.236
Bi -0.478 7.555 0.551
Bi -0.256 3.791 -2.931
Bi -3.355 0.989 -3.529
Bi -2.608 5.499 1.652
Bi -3.008 4.853 -1.735
Bi -0.788 2.127 -5.575

---

(2)
20
Lattice="-0.127 -6.264 -3.884 6.323 2.535 -4.295 6.828 -4.246 7.547" Properties=species:S:1:pos:R:3 comment="PBE BaSr2USe6, relaxed" raw_formation_energy_mev_per_atom=-1566.1 pbc="T T T"
Ba -0.064 -3.132 -1.942
Ba 6.576 -0.856 1.626
Sr 7.382 1.026 -2.193
Sr 8.771 -5.016 0.970
Sr 5.642 -9.001 1.562
Sr 4.253 -2.960 -1.602
U 3.351 -5.255 1.831
U 3.162 1.267 -2.147
Se 4.731 -0.470 -3.432
Se 9.091 -5.321 -2.286
Se 8.293 -7.505 2.800
Se 3.933 -2.654 1.654
Se 7.307 -2.153 -1.240
Se 11.159 -7.208 0.251
Se 5.717 -5.822 0.608
Se 1.866 -0.768 -0.883
Se 4.892 -4.880 -4.038
Se 10.853 -2.876 -0.008
Se 8.132 -3.095 3.406
Se 2.171 -5.100 -0.623

---

(3)
5
Lattice="-0.270 -4.442 -2.356 5.481 1.150 -2.797 0.186 -0.876 7.010" Properties=species:S:1:pos:R:3 comment="PBE K2CdIn2, relaxed" dos_at_fermi_per_ev_fu=2.446 de_polymorph_ev_per_atom=0.0000 pbc="T T T"
K 1.551 -3.744 1.500
K 3.846 -0.424 0.358
Cd 0.000 0.000 0.000
In 3.947 -1.364 -3.261
In 1.264 -1.927 -1.892